[1]
## SnSb2TeAs (PBE-GGA)

Data for a geometry-optimized SnSb2TeAs structure.

extended XYZ file:
```
5
Lattice="-0.324 -5.374 -1.657 4.695 -1.172 2.885 -3.057 -1.200 4.488" Properties=species:S:1:pos:R:3 pbc="T T T"
Sb 2.347 -0.586 1.442
Sb -0.162 -2.687 -0.829
Sn 0.000 0.000 0.000
Te -1.529 -0.600 2.244
As 0.657 -3.873 2.858
```

**M_tot**: 0.00 Bohr magnetons per cell
**Raw formation energy**: 976 meV/atom
**Relative energy among the computed polymorphs**: 0.4687 eV/atom
**Space-group type**: P4/mmm, No. 123


[2]
## SnSbTe2As (PBE-GGA)

Data for a geometry-optimized SnSbTe2As structure.

extended XYZ file:
```
5
Lattice="-4.680 1.726 2.431 -2.981 -2.733 -3.800 0.015 -4.261 3.053" Properties=species:S:1:pos:R:3 pbc="T T T"
As 0.000 0.000 0.000
Te -2.340 0.863 1.216
Sb 0.007 -2.131 1.526
Te -1.491 -1.366 -1.900
Sn -3.823 -2.634 0.842
```

**M_tot**: 0.00 Bohr magnetons per cell
**Raw formation energy**: 419 meV/atom
**Relative energy among the computed polymorphs**: 0.0000 eV/atom
**Space-group type**: P4/mmm, No. 123


[3]
## Th6SnSb3As2 (PBE-GGA)

Data for a geometry-optimized Th6SnSb3As2 structure.

extended XYZ file:
```
12
Lattice="-1.643 -1.113 -3.941 7.787 -3.686 -2.206 -4.085 -6.701 6.066" Properties=species:S:1:pos:R:3 pbc="T T T"
Th 1.886 -1.048 -0.491
Th 0.173 -10.452 0.411
Sb 4.885 -5.439 -0.500
Sb 3.072 -2.399 -3.073
As 1.099 -7.823 -0.718
Th 0.125 -6.342 1.740
Sn -0.822 -0.557 -1.970
Th -1.677 -3.375 -0.818
Th 3.736 -8.124 0.738
Th 1.935 -5.158 -1.820
As 0.961 -3.676 0.638
Sb -2.825 -6.061 0.420
```

**M_tot**: 0.00 Bohr magnetons per cell
**Raw formation energy**: -994 meV/atom
**Space-group type**: C2/m, No. 12


What is the raw formation energy in the second record?
419 meV/atom


raw formation energy of number 3 (Th6SnSb3As2)?
-994 meV/atom